Computed, not measured: an optimized crystal structure of Sm6GeSe4 at the PBE level of DFT.

a b c (Å): 7.0591 7.0591 21.0740
angles (deg): 90.00 90.00 145.79
With the nearest neighbours (Å) after each atom.
Element x y z (fractional)
Sm (0.0000, 0.0000, 0.0000)  6 Se 2.89-2.94
Sm (0.0000, 0.0000, 0.5000)  6 Se 2.89-2.94
Sm (0.1711, 0.8289, 0.7500)  2 Se 2.87, 2 Ge 2.97
Sm (0.2736, 0.7264, 0.0932)  5 Se 2.93-3.00
Sm (0.2736, 0.7264, 0.4068)  5 Se 2.93-3.00
Sm (0.4403, 0.5597, 0.6682)  3 Se 2.95-2.96, 2 Ge 3.09
Sm (0.4403, 0.5597, 0.8318)  3 Se 2.95-2.96, 2 Ge 3.09
Sm (0.5597, 0.4403, 0.1682)  3 Se 2.95-2.96, 2 Ge 3.09
Sm (0.5597, 0.4403, 0.3318)  3 Se 2.95-2.96, 2 Ge 3.09
Sm (0.7264, 0.2736, 0.5932)  5 Se 2.93-3.00
Sm (0.7264, 0.2736, 0.9068)  5 Se 2.93-3.00
Sm (0.8289, 0.1711, 0.2500)  2 Se 2.87, 2 Ge 2.97
Ge (0.1720, 0.8280, 0.2500)  6 Sm 2.97-3.09
Ge (0.8280, 0.1720, 0.7500)  6 Sm 2.97-3.09
Se (0.0826, 0.9174, 0.6263)  6 Sm 2.87-2.96
Se (0.0826, 0.9174, 0.8737)  6 Sm 2.87-2.96
Se (0.3584, 0.6416, 0.5384)  6 Sm 2.94-3.00
Se (0.3584, 0.6416, 0.9616)  6 Sm 2.94-3.00
Se (0.6416, 0.3584, 0.0384)  6 Sm 2.94-3.00
Se (0.6416, 0.3584, 0.4616)  6 Sm 2.94-3.00
Se (0.9174, 0.0826, 0.1263)  6 Sm 2.87-2.96
Se (0.9174, 0.0826, 0.3737)  6 Sm 2.87-2.96

Results
The calculation puts the energy relative to the elements, uncorrected at -1.49 eV per atom. Its crystal system is orthorhombic.